Version i
Compound: HgIr9
Source: the Open Quantum Materials Database
Functional: GGA-PBE
Structure: optimized geometry

Cell lengths 2.752, 2.752, 51.319 Å; angles 90.00, 90.00, 90.00 degrees
Space group P4/nmm (No. 129, origin choice 2)
Asymmetric unit:
Hg (0.250, 0.250, 0.137) [2 per cell]
Ir (0.250, 0.250, 0.219) [2 per cell]
Ir (0.250, 0.250, 0.294) [2 per cell]
Ir (0.250, 0.250, 0.369) [2 per cell]
Ir (0.250, 0.250, 0.444) [2 per cell]
Ir (0.250, 0.250, 0.519) [2 per cell]
Ir (0.250, 0.250, 0.593) [2 per cell]
Ir (0.250, 0.250, 0.668) [2 per cell]
Ir (0.250, 0.250, 0.743) [2 per cell]
Ir (0.250, 0.250, 0.817) [2 per cell]

Summary:
Total magnetization, μB per formula unit: 0.001


Version ii
Compound: HgIr9
Source: the Open Quantum Materials Database
Functional: GGA-PBE
Structure: optimized geometry

Cell lengths 2.747, 3.862, 40.921 Å; angles 90.00, 90.00, 90.00 degrees
Space group Pmmn (No. 59, origin choice 2)
Asymmetric unit:
Hg (0.250, 0.250, 0.174) [2 per cell]
Ir (0.250, 0.250, 0.249) [2 per cell]
Ir (0.250, 0.250, 0.317) [2 per cell]
Ir (0.250, 0.250, 0.383) [2 per cell]
Ir (0.250, 0.250, 0.450) [2 per cell]
Ir (0.250, 0.250, 0.517) [2 per cell]
Ir (0.250, 0.250, 0.584) [2 per cell]
Ir (0.250, 0.250, 0.651) [2 per cell]
Ir (0.250, 0.250, 0.717) [2 per cell]
Ir (0.250, 0.250, 0.783) [2 per cell]

Summary:
Total magnetization, μB per formula unit: 0.000


version i wins, 17 meV per atom ahead of the next structure.